# Dy4Rh

A relaxed Dy4Rh crystal (PBE, the Alexandria database).

Unit cell a=7.593 b=7.593 c=7.593 alpha=60.00 beta=60.00 gamma=60.00
Sites, in units of the cell vectors:
Dy: 0.389 0.389 0.389
Dy: 0.833 0.389 0.389
Dy: 0.389 0.389 0.833
Dy: 0.417 0.861 0.861
Dy: 0.861 0.861 0.861
Dy: 0.389 0.833 0.389
Dy: 0.861 0.861 0.417
Dy: 0.861 0.417 0.861
Rh: 0.000 0.000 0.000
Rh: 0.250 0.250 0.250

The value obtained for the volume is 30.957 Å³/atom.

=====

# DyRh4

A relaxed DyRh4 crystal (PBE, the Alexandria database).

Unit cell a=4.796 b=4.796 c=4.796 alpha=90.00 beta=90.00 gamma=90.00
Site moments in Bohr magnetons follow the coordinates.
Sites, in units of the cell vectors:
Rh: 0.000 0.000 0.000  1.38
Rh: 0.500 0.000 0.500  0.53
Rh: 0.000 0.500 0.500  0.53
Rh: 0.500 0.500 0.000  0.53
Dy: 0.500 0.500 0.500  -0.07

The value obtained for the volume is 22.061 Å³/atom.

=====

# Dy3Rh2

A relaxed Dy3Rh2 crystal (PBE, the Alexandria database).

Unit cell a=14.914 b=14.914 c=14.914 alpha=135.75 beta=135.75 gamma=64.36
Sites, in units of the cell vectors:
Dy: 0.632 0.504 0.279
Dy: 0.225 0.353 0.721
Dy: 0.132 0.853 0.129
Dy: 0.725 0.004 0.871
Dy: 0.353 0.632 0.129
Dy: 0.504 0.225 0.871
Dy: 0.004 0.132 0.279
Dy: 0.853 0.725 0.721
Dy: 0.368 0.496 0.721
Dy: 0.775 0.647 0.279
Dy: 0.868 0.147 0.871
Dy: 0.275 0.996 0.129
Dy: 0.647 0.368 0.871
Dy: 0.496 0.775 0.129
Dy: 0.996 0.868 0.721
Dy: 0.147 0.275 0.279
Dy: 0.386 0.517 0.290
Dy: 0.227 0.096 0.710
Dy: 0.886 0.596 0.869
Dy: 0.727 0.017 0.131
Dy: 0.096 0.386 0.869
Dy: 0.517 0.227 0.131
Dy: 0.017 0.886 0.290
Dy: 0.596 0.727 0.710
Dy: 0.614 0.483 0.710
Dy: 0.773 0.904 0.290
Dy: 0.114 0.404 0.131
Dy: 0.273 0.983 0.869
Dy: 0.904 0.614 0.131
Dy: 0.483 0.773 0.869
Dy: 0.983 0.114 0.710
Dy: 0.404 0.273 0.290
Dy: 0.850 0.350 0.201
Dy: 0.150 0.650 0.799
Dy: 0.350 0.150 0.500
Dy: 0.650 0.850 0.500
Dy: 0.387 0.887 0.500
Dy: 0.887 0.387 0.500
Dy: 0.613 0.113 0.500
Dy: 0.113 0.613 0.500
Dy: 0.250 0.750 0.500
Dy: 0.750 0.250 0.500
Rh: 0.714 0.214 0.142
Rh: 0.073 0.573 0.858
Rh: 0.214 0.073 0.500
Rh: 0.573 0.714 0.500
Rh: 0.286 0.786 0.858
Rh: 0.927 0.427 0.142
Rh: 0.786 0.927 0.500
Rh: 0.427 0.286 0.500
Rh: 0.465 0.965 0.806
Rh: 0.159 0.659 0.194
Rh: 0.965 0.159 0.500
Rh: 0.659 0.465 0.500
Rh: 0.535 0.035 0.194
Rh: 0.841 0.341 0.806
Rh: 0.035 0.841 0.500
Rh: 0.341 0.535 0.500
Rh: 0.598 0.098 0.697
Rh: 0.402 0.902 0.303
Rh: 0.098 0.402 0.500
Rh: 0.902 0.598 0.500
Rh: 0.367 0.367 0.000
Rh: 0.867 0.867 0.000
Rh: 0.633 0.633 0.000
Rh: 0.133 0.133 0.000
Rh: 0.500 0.500 0.000
Rh: 0.000 0.000 0.000
Rh: 0.250 0.250 0.000
Rh: 0.750 0.750 0.000

The value obtained for the volume is 22.753 Å³/atom.

=====

# Dy5Rh3

A relaxed Dy5Rh3 crystal (PBE, the Alexandria database).

Unit cell a=8.243 b=8.243 c=6.315 alpha=90.00 beta=90.00 gamma=120.00
Sites, in units of the cell vectors:
Dy: 0.333 0.667 0.500
Dy: 0.667 0.333 0.500
Dy: 0.667 0.333 0.000
Dy: 0.333 0.667 0.000
Dy: 0.250 0.250 0.250
Dy: 0.750 0.000 0.250
Dy: 0.000 0.750 0.250
Dy: 0.750 0.750 0.750
Dy: 0.250 0.000 0.750
Dy: 0.000 0.250 0.750
Rh: 0.603 0.603 0.250
Rh: 0.397 0.000 0.250
Rh: 0.000 0.397 0.250
Rh: 0.397 0.397 0.750
Rh: 0.603 0.000 0.750
Rh: 0.000 0.603 0.750

The value obtained for the volume is 23.228 Å³/atom.

=====

# Dy5Rh3

A relaxed Dy5Rh3 crystal (PBE, the Alexandria database).

Unit cell a=6.345 b=10.898 c=10.898 alpha=90.00 beta=90.00 gamma=90.00
Sites, in units of the cell vectors:
Dy: 0.379 0.291 0.089
Dy: 0.879 0.291 0.911
Dy: 0.879 0.709 0.089
Dy: 0.379 0.709 0.911
Dy: 0.879 0.589 0.791
Dy: 0.379 0.589 0.209
Dy: 0.379 0.411 0.791
Dy: 0.879 0.411 0.209
Dy: 0.621 0.209 0.411
Dy: 0.121 0.209 0.589
Dy: 0.121 0.791 0.411
Dy: 0.621 0.791 0.589
Dy: 0.121 0.911 0.709
Dy: 0.621 0.911 0.291
Dy: 0.621 0.089 0.709
Dy: 0.121 0.089 0.291
Dy: 0.500 0.000 0.000
Dy: 0.000 0.000 0.000
Dy: 0.000 0.500 0.500
Dy: 0.500 0.500 0.500
Rh: 0.250 0.846 0.154
Rh: 0.750 0.846 0.846
Rh: 0.750 0.154 0.154
Rh: 0.250 0.154 0.846
Rh: 0.750 0.654 0.346
Rh: 0.250 0.654 0.654
Rh: 0.250 0.346 0.346
Rh: 0.750 0.346 0.654
Rh: 0.124 0.500 0.000
Rh: 0.624 0.500 0.000
Rh: 0.876 0.000 0.500
Rh: 0.376 0.000 0.500

The value obtained for the volume is 23.548 Å³/atom.

=====

# Dy3Rh2

A relaxed Dy3Rh2 crystal (PBE, the Alexandria database).

Unit cell a=4.259 b=5.972 c=10.051 alpha=90.00 beta=90.00 gamma=110.89
Sites, in units of the cell vectors:
Dy: 0.853 0.206 0.567
Dy: 0.147 0.794 0.067
Dy: 0.147 0.794 0.433
Dy: 0.853 0.206 0.933
Dy: 0.592 0.684 0.750
Dy: 0.408 0.316 0.250
Rh: 0.500 0.500 0.500
Rh: 0.500 0.500 0.000
Rh: 0.320 0.140 0.750
Rh: 0.680 0.860 0.250

The value obtained for the volume is 23.882 Å³/atom.

=====

Here are the calculated N(E_F) numbers, same order: 12.715, 9.153, 41.539, 13.580, 20.270, 6.028 (states/eV per cell).
Here are the calculated size of the total moment numbers, same order: 0.0, 2.9, 0.0, 0.0, 0.0, 0.0 (μB/cell).
Here are the calculated ΔE_f numbers, same order: 0.07, 1.47, -0.77, -0.72, -0.75, -0.70 (eV per atom).